(1)
A plane-wave DFT calculation with PBE was carried out for a relaxed TmPa2TcC4 crystal.

Lattice parameters (Å, degrees): 6.147 6.147 11.828 90.00 90.00 146.26
Positions (direct):
Tm 0.126 0.874 0.750
Tm 0.874 0.126 0.250
Pa 0.368 0.632 0.543
Pa 0.368 0.632 0.957
Pa 0.632 0.368 0.043
Pa 0.632 0.368 0.457
Tc 0.139 0.861 0.250
Tc 0.861 0.139 0.750
C 0.000 0.000 0.000
C 0.000 0.000 0.500
C 0.263 0.737 0.130
C 0.263 0.737 0.370
C 0.442 0.558 0.750
C 0.558 0.442 0.250
C 0.737 0.263 0.630
C 0.737 0.263 0.870

Computed properties:
The formation energy is -133 meV/atom. As for the space group: No. 63.

(2)
A plane-wave DFT calculation with PBE was carried out for a relaxed PaZnPdPt crystal.

Lattice parameters (Å, degrees): 6.708 6.708 6.708 90.00 90.00 90.00
Positions (direct):
Pa 0.000 0.000 0.000
Pa 0.000 0.500 0.500
Pa 0.500 0.000 0.500
Pa 0.500 0.500 0.000
Zn 0.000 0.000 0.500
Zn 0.000 0.500 0.000
Zn 0.500 0.000 0.000
Zn 0.500 0.500 0.500
Pd 0.250 0.250 0.750
Pd 0.250 0.750 0.250
Pd 0.750 0.250 0.250
Pd 0.750 0.750 0.750
Pt 0.250 0.250 0.250
Pt 0.250 0.750 0.750
Pt 0.750 0.250 0.750
Pt 0.750 0.750 0.250

Computed properties:
The formation energy is -661 meV/atom. As for the space group: No. 216.

(3)
A plane-wave DFT calculation with PBE was carried out for a relaxed PmTlIn crystal.

Lattice parameters (Å, degrees): 3.659 3.659 12.571 90.00 90.00 90.00
Positions (direct):
Pm 0.000 0.000 0.000
Pm 0.500 0.500 0.500
Tl 0.000 0.000 0.676
Tl 0.500 0.500 0.176
In 0.000 0.000 0.330
In 0.500 0.500 0.830

Computed properties:
The formation energy is -248 meV/atom. As for the space group: No. 107. The excess energy over the best structure of this formula in the dataset comes out at 111 meV per atom.

(4)
A plane-wave DFT calculation with PBE was carried out for a relaxed TbHoMgHg crystal.

Lattice parameters (Å, degrees): 7.488 7.488 7.488 90.00 90.00 90.00
Positions (direct):
Tb 0.000 0.000 0.000
Tb 0.000 0.500 0.500
Tb 0.500 0.000 0.500
Tb 0.500 0.500 0.000
Ho 0.000 0.000 0.500
Ho 0.000 0.500 0.000
Ho 0.500 0.000 0.000
Ho 0.500 0.500 0.500
Mg 0.250 0.250 0.750
Mg 0.250 0.750 0.250
Mg 0.750 0.250 0.250
Mg 0.750 0.750 0.750
Hg 0.250 0.250 0.250
Hg 0.250 0.750 0.750
Hg 0.750 0.250 0.750
Hg 0.750 0.750 0.250

Computed properties:
The formation energy is -262 meV/atom. As for the space group: No. 216. The excess energy over the best structure of this formula in the dataset comes out at 17 meV per atom.

(5)
A plane-wave DFT calculation with PBE was carried out for a relaxed La2WAu crystal.

Lattice parameters (Å, degrees): 11.743 3.160 5.513 90.00 104.49 90.00
Positions (direct):
La 0.000 0.000 0.000
La 0.189 0.000 0.632
La 0.500 0.500 0.000
La 0.689 0.500 0.632
W 0.251 0.500 0.151
W 0.751 0.000 0.151
Au 0.429 0.000 0.460
Au 0.929 0.500 0.460

Computed properties:
The formation energy is 158 meV/atom. As for the space group: No. 8. The excess energy over the best structure of this formula in the dataset comes out at 63 meV per atom.

(6)
A plane-wave DFT calculation with PBE was carried out for a relaxed SbPbCl2 crystal.

Lattice parameters (Å, degrees): 4.243 4.243 12.059 90.00 90.00 90.00
Positions (direct):
Sb 0.000 0.000 0.000
Sb 0.500 0.500 0.500
Pb 0.000 0.500 0.250
Pb 0.500 0.000 0.750
Cl 0.000 0.000 0.500
Cl 0.000 0.500 0.750
Cl 0.500 0.000 0.250
Cl 0.500 0.500 0.000

Computed properties:
The formation energy without anion corrections is -0.298 eV/atom. As for the space group: No. 119. The excess energy over the best structure of this formula in the dataset comes out at 238 meV per atom.

(7)
A plane-wave DFT calculation with PBE was carried out for a relaxed Sc2PbO crystal.

Lattice parameters (Å, degrees): 6.784 6.784 6.784 90.00 90.00 90.00
Positions (direct):
Sc 0.250 0.250 0.250
Sc 0.250 0.250 0.750
Sc 0.250 0.750 0.250
Sc 0.250 0.750 0.750
Sc 0.750 0.250 0.250
Sc 0.750 0.250 0.750
Sc 0.750 0.750 0.250
Sc 0.750 0.750 0.750
Pb 0.000 0.000 0.000
Pb 0.000 0.500 0.500
Pb 0.500 0.000 0.500
Pb 0.500 0.500 0.000
O 0.000 0.000 0.500
O 0.000 0.500 0.000
O 0.500 0.000 0.000
O 0.500 0.500 0.500

Computed properties:
The formation energy without anion corrections is -0.535 eV/atom. As for the space group: No. 225. The excess energy over the best structure of this formula in the dataset comes out at 1184 meV per atom.

(8)
A plane-wave DFT calculation with PBE was carried out for a relaxed Rb2AlI6O crystal.

Lattice parameters (Å, degrees): 8.358 8.358 8.358 126.07 126.07 79.77
Positions (direct):
Rb 0.250 0.750 0.500
Rb 0.750 0.250 0.500
Al 0.000 0.000 0.000
I 0.217 0.217 0.000
I 0.264 0.264 0.527
I 0.264 0.736 0.000
I 0.736 0.264 0.000
I 0.736 0.736 0.473
I 0.783 0.783 0.000
O 0.500 0.500 0.000

Computed properties:
The formation energy without anion corrections is -0.593 eV/atom. As for the space group: No. 139.

Number 1: density of states at the Fermi level 8.52 states/eV/cell. Number 2: density of states at the Fermi level 9.78 states/eV/cell. Number 3: density of states at the Fermi level 4.93 states/eV/cell. Number 4: density of states at the Fermi level 17.34 states/eV/cell. Number 5: density of states at the Fermi level 6.86 states/eV/cell. Number 6: density of states at the Fermi level 3.56 states/eV/cell. Number 7: density of states at the Fermi level 0.48 states/eV/cell. Number 8: density of states at the Fermi level 5.15 states/eV/cell.